Entry 1:
Computed, not measured: CdCo4Sb after structural relaxation at the PBE level of DFT.

density of states at the Fermi level = 8.48 states/eV/cell
formation energy without anion corrections = 0.255 eV/atom
size of the total moment = 6.5 Bohr magnetons per cell

Lattice parameters (Å, degrees): 4.957 4.957 4.957 60.00 60.00 60.00
Positions (direct):
Co (0.125, 0.625, 0.625)
Co (0.625, 0.625, 0.625)
Co (0.625, 0.125, 0.625)
Co (0.625, 0.625, 0.125)
Cd (0.000, 0.000, 0.000)
Sb (0.250, 0.250, 0.250)



Entry 2:
Computed, not measured: CdCoSb2 after structural relaxation at the PBE level of DFT.

density of states at the Fermi level = 5.27 states/eV/cell
formation energy without anion corrections = 0.571 eV/atom
size of the total moment = 1.2 Bohr magnetons per cell

Lattice parameters (Å, degrees): 4.985 4.985 4.985 60.00 60.00 60.00
Positions (direct):
Sb (0.250, 0.250, 0.250)
Sb (0.000, 0.000, 0.000)
Co (0.750, 0.750, 0.750)
Cd (0.500, 0.500, 0.500)



Entry 3:
Computed, not measured: CdCo3Sb after structural relaxation at the PBE level of DFT.

density of states at the Fermi level = 12.89 states/eV/cell
formation energy without anion corrections = 1.038 eV/atom
size of the total moment = 3.9 Bohr magnetons per cell
energy relative to the lowest polymorph listed for this composition = 0.000 eV per atom

Lattice parameters (Å, degrees): 4.654 4.654 4.654 90.00 90.00 90.00
Positions (direct):
Co (0.000, 0.000, 0.500)
Co (0.000, 0.500, 0.000)
Co (0.500, 0.000, 0.000)
Sb (0.000, 0.000, 0.000)
Cd (0.500, 0.500, 0.500)



Entry 4:
Computed, not measured: CdCoSb2 after structural relaxation at the PBE level of DFT.

density of states at the Fermi level = 4.64 states/eV/cell
formation energy without anion corrections = 0.443 eV/atom
size of the total moment = 0.9 Bohr magnetons per cell

Lattice parameters (Å, degrees): 6.979 4.909 3.665 88.99 59.98 121.61
Positions (direct):
Co (0.500, 0.500, 0.000)
Sb (0.500, 0.000, 0.500)
Sb (0.000, 0.000, 0.000)
Cd (0.000, 0.500, 0.500)



Entry 5:
Computed, not measured: CdCo2Sb2 after structural relaxation at the PBE level of DFT.

density of states at the Fermi level = 3.26 states/eV/cell
formation energy without anion corrections = 0.220 eV/atom
size of the total moment = 1.3 Bohr magnetons per cell
energy relative to the lowest polymorph listed for this composition = 0.044 eV per atom

Lattice parameters (Å, degrees): 4.350 4.350 6.148 69.28 69.28 90.00
Positions (direct):
Cd (0.000, 0.000, 0.000)
Sb (0.635, 0.635, 0.731)
Sb (0.365, 0.365, 0.269)
Co (0.250, 0.750, 0.500)
Co (0.750, 0.250, 0.500)



Entry 6:
Computed, not measured: CdCo2Sb after structural relaxation at the PBE level of DFT.

density of states at the Fermi level = 1.84 states/eV/cell
formation energy without anion corrections = 0.211 eV/atom
size of the total moment = 1.5 Bohr magnetons per cell
energy relative to the lowest polymorph listed for this composition = 0.000 eV per atom

Lattice parameters (Å, degrees): 4.426 4.426 4.426 60.00 60.00 60.00
Positions (direct):
Sb (0.500, 0.500, 0.500)
Co (0.750, 0.750, 0.750)
Co (0.250, 0.250, 0.250)
Cd (0.000, 0.000, 0.000)